Entry 1:
NaThAgSe3: optimized geometry, PBE.

Summary:
space-group type = P2_1/m, No. 11
magnetization = 0.00 μB/atom
raw formation energy = -1.207 eV/atom

a b c (Å): 4.2847 8.0042 9.9780
angles (deg): 103.79 90.00 90.00
Last column: nearest neighbours and their distance in Å.
Fractional coordinates of all 12 atoms:
Se 0.2500 0.0613 0.8482  1 Ag 2.66, 2 Th 2.90
Se 0.7500 0.2754 0.5420  3 Ag 2.72-2.87, 1 Th 2.90
Se 0.7500 0.9387 0.1518  1 Ag 2.66, 2 Th 2.90
Se 0.2500 0.5650 0.8564  3 Th 2.98-2.99, 2 Na 3.21
Se 0.2500 0.7246 0.4580  3 Ag 2.72-2.87, 1 Th 2.90
Se 0.7500 0.4350 0.1436  3 Th 2.98-2.99, 2 Na 3.21
Ag 0.7500 0.9139 0.4132  4 Se 2.66-2.87, 2 Ag 2.89
Ag 0.2500 0.0861 0.5868  4 Se 2.66-2.87, 2 Ag 2.89
Th 0.7500 0.3019 0.8365  6 Se 2.90-2.99
Th 0.2500 0.6981 0.1635  6 Se 2.90-2.99
Na 0.2500 0.2550 0.3037  6 Se 3.18-3.39, 1 Ag 3.41
Na 0.7500 0.7450 0.6963  6 Se 3.18-3.39, 1 Ag 3.41

---

Entry 2:
Na3Th2AgSe6: optimized geometry, PBE.

Summary:
space-group type = C2/m, No. 12
magnetization = 0.00 μB/atom
raw formation energy = -1.329 eV/atom

a b c (Å): 4.2808 8.4536 9.6162
angles (deg): 106.60 102.86 90.00
Last column: nearest neighbours and their distance in Å.
Fractional coordinates of all 12 atoms:
Th 0.8456 0.6953 0.6913  6 Se 2.77-3.08
Th 0.1544 0.3047 0.3087  6 Se 2.77-3.08
Na 0.8391 0.1796 0.6782  6 Se 2.92-3.13
Na 0.1609 0.8204 0.3218  6 Se 2.92-3.13
Na 0.5000 0.5000 0.0000  6 Se 3.07-3.15
Se 0.3293 0.9129 0.6586  2 Th 2.90, 3 Na 3.02-3.08, 1 Ag 3.07
Se 0.0008 0.2408 0.0016  1 Th 2.77, 3 Na 2.92-3.07, 2 Ag 2.95
Se 0.9992 0.7592 0.9984  1 Th 2.77, 3 Na 2.92-3.07, 2 Ag 2.95
Se 0.6707 0.0871 0.3414  2 Th 2.90, 3 Na 3.02-3.08, 1 Ag 3.07
Se 0.6741 0.5600 0.3481  3 Th 2.98-3.08, 3 Na 3.13-3.15
Se 0.3259 0.4400 0.6519  3 Th 2.98-3.08, 3 Na 3.13-3.15
Ag 0.5000 0.0000 0.0000  6 Se 2.95-3.07

---

Entry 3:
NaTiAg2Se4: optimized geometry, PBE.

Summary:
space-group type = I-42m, No. 121
magnetization = 0.00 μB/atom
raw formation energy = -0.583 eV/atom

a b c (Å): 6.8432 6.8432 6.8432
angles (deg): 122.08 122.08 86.43
Last column: nearest neighbours and their distance in Å.
Fractional coordinates of all 8 atoms:
Se 0.9139 0.3463 0.0000  1 Ti 2.41, 2 Ag 2.65
Se 0.6537 0.6537 0.5676  1 Ti 2.41, 2 Ag 2.65
Se 0.3463 0.9139 0.0000  1 Ti 2.41, 2 Ag 2.65
Se 0.0861 0.0861 0.4324  1 Ti 2.41, 2 Ag 2.65
Na 0.5000 0.5000 0.0000  4 Se 2.96
Ti 0.0000 0.0000 0.0000  4 Se 2.41
Ag 0.2500 0.7500 0.5000  4 Se 2.65
Ag 0.7500 0.2500 0.5000  4 Se 2.65

---

Entry 4:
Na4Ti3AgSe8: optimized geometry, PBE.

Summary:
space-group type = R-3m, No. 166
magnetization = 0.07 μB/atom
raw formation energy = -1.000 eV/atom

a b c (Å): 7.6838 8.2390 7.6850
angles (deg): 117.82 119.99 90.00
Last column: nearest neighbours and their distance in Å.
Fractional coordinates of all 16 atoms:
Se 0.7376 0.7126 0.4752  3 Ti 2.66, 3 Na 2.98
Se 0.2461 0.7110 0.4921  2 Ti 2.61, 1 Ag 2.76, 1 Na 2.90
Se 0.7540 0.2890 0.0349  2 Ti 2.61, 1 Ag 2.76, 1 Na 2.90
Se 0.2809 0.2890 0.0349  2 Ti 2.61, 1 Ag 2.76, 1 Na 2.90
Se 0.7539 0.2890 0.5079  2 Ti 2.61, 1 Ag 2.76, 1 Na 2.90
Se 0.2460 0.7110 0.9651  2 Ti 2.61, 1 Ag 2.76, 1 Na 2.90
Se 0.2624 0.2874 0.5248  3 Ti 2.66, 3 Na 2.98
Se 0.7191 0.7110 0.9651  2 Ti 2.61, 1 Ag 2.76, 1 Na 2.90
Na 0.5000 0.0000 0.0000  6 Se 2.90
Na 0.5000 0.0000 0.5000  6 Se 2.98-3.04
Na 0.0000 0.0000 0.0000  6 Se 2.98-3.04
Na 0.0000 0.0000 0.5000  6 Se 2.98-3.04
Ag 0.0000 0.5000 0.0000  6 Se 2.76
Ti 0.5000 0.5000 0.5000  6 Se 2.61-2.66
Ti 0.0000 0.5000 0.5000  6 Se 2.61-2.66
Ti 0.5000 0.5000 0.0000  6 Se 2.61-2.66

---

Entry 5:
NaTlAg2Se2: optimized geometry, PBE.

Summary:
space-group type = P-3m1, No. 164
magnetization = 0.00 μB/atom
raw formation energy = -0.419 eV/atom

a b c (Å): 4.5429 4.5429 8.4423
angles (deg): 90.00 90.00 120.00
Last column: nearest neighbours and their distance in Å.
Fractional coordinates of all 6 atoms:
Se 0.6667 0.3333 0.7220  3 Ag 2.63
Se 0.3333 0.6667 0.2780  3 Ag 2.63
Ag 0.3333 0.6667 0.7396  3 Se 2.63
Ag 0.6667 0.3333 0.2604  3 Se 2.63
Na 0.0000 0.0000 0.5000  6 Se 3.22, 6 Ag 3.31
Tl 0.0000 0.0000 0.0000  6 Ag 3.42, 6 Se 3.52

---

Entry 6:
NaTmAgSe2: optimized geometry, PBE.

Summary:
space-group type = P2/c, No. 13
magnetization = 0.00 μB/atom
raw formation energy = -0.937 eV/atom

a b c (Å): 4.9478 7.1119 7.7127
angles (deg): 98.91 90.00 90.00
Last column: nearest neighbours and their distance in Å.
Fractional coordinates of all 10 atoms:
Ag 0.0000 0.0000 0.5000  2 Se 2.64
Ag 0.0000 0.0000 0.0000  2 Se 2.64
Tm 0.4948 0.0000 0.2500  4 Se 2.79, 2 Ag 3.12
Tm 0.5052 0.0000 0.7500  4 Se 2.79, 2 Ag 3.12
Se 0.3692 0.2719 0.0372  1 Ag 2.64, 2 Tm 2.79
Se 0.6308 0.2719 0.5372  1 Ag 2.64, 2 Tm 2.79
Se 0.3692 0.7281 0.4628  1 Ag 2.64, 2 Tm 2.79
Se 0.6308 0.7281 0.9628  1 Ag 2.64, 2 Tm 2.79
Na 0.8753 0.5000 0.2500  6 Se 3.18-3.28
Na 0.1247 0.5000 0.7500  6 Se 3.18-3.28

---

Entry 7:
NaUAg2Se4: optimized geometry, PBE.

Summary:
space-group type = I222, No. 23
magnetization = 0.14 μB/atom
raw formation energy = -0.541 eV/atom

a b c (Å): 6.9484 6.4983 6.4983
angles (deg): 68.17 57.68 57.68
Last column: nearest neighbours and their distance in Å.
Fractional coordinates of all 8 atoms:
Se 0.8817 0.5912 0.1000  2 Ag 2.61-2.81, 1 U 2.70
Se 0.4271 0.1000 0.5912  2 Ag 2.61-2.81, 1 U 2.70
Se 0.5729 0.4088 0.9000  2 Ag 2.61-2.81, 1 U 2.70
Se 0.1183 0.9000 0.4088  2 Ag 2.61-2.81, 1 U 2.70
Ag 0.1753 0.3247 0.3247  4 Se 2.61-2.81, 1 Ag 2.88
Ag 0.8247 0.6753 0.6753  4 Se 2.61-2.81, 1 Ag 2.88
Na 0.0000 0.0000 0.0000  4 Se 2.94
U 0.5000 0.5000 0.5000  4 Se 2.70

---

Entry 8:
Na2UAg3Se6: optimized geometry, PBE.

Summary:
space-group type = C2/m, No. 12
magnetization = 0.00 μB/atom
raw formation energy = -0.632 eV/atom

a b c (Å): 7.6393 7.6393 6.4838
angles (deg): 100.34 100.34 122.97
Last column: nearest neighbours and their distance in Å.
Fractional coordinates of all 12 atoms:
Ag 0.5000 0.5000 0.5000  6 Se 2.77-3.05
Ag 0.1234 0.8766 0.5000  4 Se 2.65-2.75
Ag 0.8766 0.1234 0.5000  4 Se 2.65-2.75
U 0.0000 0.0000 0.0000  6 Se 2.70-2.76
Se 0.0861 0.3792 0.2729  2 Ag 2.65-2.77, 1 U 2.76
Se 0.6208 0.9139 0.7271  2 Ag 2.65-2.77, 1 U 2.76
Se 0.9139 0.6208 0.7271  2 Ag 2.65-2.77, 1 U 2.76
Se 0.2681 0.2681 0.8054  1 U 2.70, 2 Ag 2.75, 2 Na 2.98
Se 0.7319 0.7319 0.1946  1 U 2.70, 2 Ag 2.75, 2 Na 2.98
Se 0.3792 0.0861 0.2729  2 Ag 2.65-2.77, 1 U 2.76
Na 0.6831 0.3169 0.0000  6 Se 2.98-3.13
Na 0.3169 0.6831 0.0000  6 Se 2.98-3.13

---

Entry 9:
Na2U2AgSe6: optimized geometry, PBE.

Summary:
space-group type = C2/m, No. 12
magnetization = 0.27 μB/atom
raw formation energy = -1.008 eV/atom

a b c (Å): 7.1842 7.1842 7.3786
angles (deg): 98.31 98.31 121.92
Last column: nearest neighbours and their distance in Å.
Fractional coordinates of all 11 atoms:
U 0.3364 0.6636 0.5000  6 Se 2.78-2.82
U 0.6636 0.3364 0.5000  6 Se 2.78-2.82
Se 0.0664 0.4263 0.7261  2 U 2.78-2.81, 1 Ag 3.02, 2 Na 3.03-3.04
Se 0.4263 0.0664 0.7261  2 U 2.78-2.81, 1 Ag 3.02, 2 Na 3.03-3.04
Se 0.9336 0.5737 0.2739  2 U 2.78-2.81, 1 Ag 3.02, 2 Na 3.03-3.04
Se 0.2702 0.2702 0.2774  2 U 2.82, 1 Ag 2.84, 2 Na 3.07
Se 0.5737 0.9336 0.2739  2 U 2.78-2.81, 1 Ag 3.02, 2 Na 3.03-3.04
Se 0.7298 0.7298 0.7226  2 U 2.82, 1 Ag 2.84, 2 Na 3.07
Ag 0.0000 0.0000 0.5000  6 Se 2.84-3.02
Na 0.1583 0.8417 0.0000  6 Se 3.03-3.07
Na 0.8417 0.1583 0.0000  6 Se 3.03-3.07

---

Entry 10:
Na4U3AgSe8: optimized geometry, PBE.

Summary:
space-group type = R-3m, No. 166
magnetization = 0.44 μB/atom
raw formation energy = -1.089 eV/atom

a b c (Å): 8.2716 8.4868 8.2744
angles (deg): 119.20 119.99 90.00
Last column: nearest neighbours and their distance in Å.
Fractional coordinates of all 16 atoms:
Se 0.7353 0.7297 0.9825  2 U 2.86, 1 Ag 2.93, 3 Na 3.00-3.07
Se 0.2475 0.7299 0.4950  2 U 2.86, 1 Ag 2.93, 3 Na 3.00-3.07
Se 0.7446 0.7339 0.4892  3 U 2.90, 3 Na 3.03
Se 0.7525 0.2701 0.5050  2 U 2.86, 1 Ag 2.93, 3 Na 3.00-3.07
Se 0.2554 0.2661 0.5108  3 U 2.90, 3 Na 3.03
Se 0.2647 0.2703 0.0175  2 U 2.86, 1 Ag 2.93, 3 Na 3.00-3.07
Se 0.2473 0.7297 0.9825  2 U 2.86, 1 Ag 2.93, 3 Na 3.00-3.07
Se 0.7527 0.2703 0.0175  2 U 2.86, 1 Ag 2.93, 3 Na 3.00-3.07
Na 0.0000 0.0000 0.5000  6 Se 3.03-3.07
Na 0.5000 0.0000 0.0000  6 Se 3.00
Na 0.0000 0.0000 0.0000  6 Se 3.03-3.07
Na 0.5000 0.0000 0.5000  6 Se 3.03-3.07
U 0.5000 0.5000 0.0000  6 Se 2.86-2.90
U 0.0000 0.5000 0.5000  6 Se 2.86-2.90
U 0.5000 0.5000 0.5000  6 Se 2.86-2.90
Ag 0.0000 0.5000 0.0000  6 Se 2.93

---

Entry 11:
Na3U2AgSe6: optimized geometry, PBE.

Summary:
space-group type = C2/m, No. 12
magnetization = 0.33 μB/atom
raw formation energy = -1.064 eV/atom

a b c (Å): 7.1587 7.1587 7.3868
angles (deg): 99.33 99.33 119.92
Last column: nearest neighbours and their distance in Å.
Fractional coordinates of all 12 atoms:
Na 0.1606 0.8394 0.5000  6 Se 3.01-3.09
Na 0.8394 0.1606 0.5000  6 Se 3.01-3.09
Na 0.5000 0.5000 0.5000  6 Se 2.97-3.08
Se 0.0773 0.4241 0.2305  2 U 2.84, 1 Ag 2.96, 3 Na 3.01-3.09
Se 0.7302 0.7302 0.2307  2 U 2.85, 1 Ag 2.96, 3 Na 2.97-3.03
Se 0.5759 0.9227 0.7695  2 U 2.84, 1 Ag 2.96, 3 Na 3.01-3.09
Se 0.4241 0.0773 0.2305  2 U 2.84, 1 Ag 2.96, 3 Na 3.01-3.09
Se 0.2698 0.2698 0.7693  2 U 2.85, 1 Ag 2.96, 3 Na 2.97-3.03
Se 0.9227 0.5759 0.7695  2 U 2.84, 1 Ag 2.96, 3 Na 3.01-3.09
U 0.3327 0.6673 0.0000  6 Se 2.84-2.85
U 0.6673 0.3327 0.0000  6 Se 2.84-2.85
Ag 0.0000 0.0000 0.0000  6 Se 2.96

---

Entry 12:
NaU2AgSe6: optimized geometry, PBE.

Summary:
space-group type = R3, No. 146
magnetization = 0.20 μB/atom
raw formation energy = -0.858 eV/atom

a b c (Å): 7.0658 7.0660 7.6608
angles (deg): 62.53 62.53 59.99
Last column: nearest neighbours and their distance in Å.
Fractional coordinates of all 10 atoms:
Na 0.8080 0.8080 0.5762  6 Se 2.91-3.14
U 0.0014 0.0014 0.9957  6 Se 2.76
U 0.5060 0.5060 0.4819  6 Se 2.75-2.77
Se 0.7551 0.1393 0.7365  2 U 2.75-2.76, 1 Ag 2.90, 1 Na 2.91
Se 0.8973 0.6113 0.2409  2 U 2.76-2.77, 1 Ag 2.87
Se 0.6114 0.2504 0.2409  2 U 2.76-2.77, 1 Ag 2.87
Se 0.2505 0.8972 0.2408  2 U 2.76-2.77, 1 Ag 2.87
Se 0.3690 0.7553 0.7363  2 U 2.75-2.76, 1 Ag 2.91, 1 Na 2.91
Se 0.1393 0.3690 0.7365  2 U 2.75-2.76, 1 Ag 2.91, 1 Na 2.91
Ag 0.3236 0.3236 0.0293  6 Se 2.87-2.91

---

| no. | volume (Å³/atom) |
| --- | --- |
| 1 | 27.69 |
| 2 | 27.03 |
| 3 | 27.38 |
| 4 | 22.18 |
| 5 | 25.15 |
| 6 | 26.81 |
| 7 | 26.00 |
| 8 | 24.51 |
| 9 | 28.05 |
| 10 | 25.98 |
| 11 | 25.87 |
| 12 | 28.03 |